1.
The following is a DFT calculation (GGA-PBE) of Sc2AgGe2 after structural relaxation.

a b c (Å): 8.126 8.126 3.051
angles (deg): 90.00 90.00 90.00
Fractional positions:
Sc: 0.135 0.365 0.000
Sc: 0.365 0.865 0.000
Sc: 0.635 0.135 0.000
Sc: 0.865 0.635 0.000
Ag: 0.000 0.000 0.000
Ag: 0.500 0.500 0.000
Ge: 0.168 0.668 0.500
Ge: 0.332 0.168 0.500
Ge: 0.668 0.832 0.500
Ge: 0.832 0.332 0.500

## Properties
ΔE to the lowest computed polymorph: 1.541 eV per formula unit
Formation energy: -0.3322 eV per atom
Space-group type: No. 127
Magnetic moment: 0.00 μB per atom

---

2.
The following is a DFT calculation (GGA-PBE) of BaZnAgCl6 after structural relaxation.

a b c (Å): 6.508 6.632 6.634
angles (deg): 92.15 93.63 114.23
Fractional positions:
Ba: 0.000 0.000 0.000
Zn: 0.341 0.683 0.505
Ag: 0.678 0.326 0.501
Cl: 0.027 0.368 0.708
Cl: 0.040 0.647 0.272
Cl: 0.370 0.965 0.748
Cl: 0.385 0.378 0.277
Cl: 0.623 0.611 0.724
Cl: 0.642 0.979 0.309

## Properties
Space-group type: No. 1
Magnetic moment: 0.12 μB per atom
Formation energy (no corrections): -1.2717 eV per atom